## BeAl2Te (SCAN)

Data for a PBEsol-optimized structure of BeAl2Te.

Cell lengths 3.9022, 3.9128, 6.0058 Å; angles 108.96, 90.00, 119.91 degrees
With the nearest neighbours (Å) after each atom.
Atoms (fractional coordinates):
Be1 0.0000 0.0000 0.5000  6 Al 2.41-2.42
Te1 0.5000 0.0000 0.0000  6 Al 2.96-2.97
Al1 0.7182 0.4365 0.6546  3 Be 2.41-2.42
Al2 0.2818 0.5635 0.3454  3 Be 2.41-2.42

Summary:
Volume, Å³/cell: 74
Formation energy (no corrections), meV per atom: 204
Energy relative to the lowest polymorph listed for this composition, eV per atom: 0.000
Total energy, eV per atom: -14.073

***

## Be2AlTe (SCAN)

Data for a PBEsol-optimized structure of Be2AlTe.

Cell lengths 4.5041, 4.5041, 4.5041 Å; angles 60.00, 60.00, 60.00 degrees
With the nearest neighbours (Å) after each atom.
Atoms (fractional coordinates):
Be1 0.0000 0.0000 0.0000  4 Be 2.76, 4 Te 2.76
Be2 0.7500 0.7500 0.7500  4 Al 2.76, 4 Be 2.76
Te1 0.2500 0.2500 0.2500  4 Be 2.76, 4 Al 2.76
Al1 0.5000 0.5000 0.5000  4 Te 2.76, 4 Be 2.76

Summary:
Volume, Å³/cell: 65
Formation energy (no corrections), meV per atom: 782
Energy relative to the lowest polymorph listed for this composition, eV per atom: 0.346
Total energy, eV per atom: -12.646

***

## Ti3BeAl (SCAN)

Data for a PBEsol-optimized structure of Ti3BeAl.

Cell lengths 4.3297, 4.3297, 4.3297 Å; angles 90.00, 90.00, 90.00 degrees
With the nearest neighbours (Å) after each atom.
Atoms (fractional coordinates):
Be1 0.0000 0.0000 0.0000  6 Ti 2.16
Al1 0.5000 0.5000 0.5000  12 Ti 3.06
Ti1 0.0000 0.5000 0.0000  2 Be 2.16
Ti2 0.0000 0.0000 0.5000  2 Be 2.16
Ti3 0.5000 0.0000 0.0000  2 Be 2.16

Summary:
Volume, Å³/cell: 81
Total energy, eV per atom: -11.890
Formation energy from the elements, eV per atom: 0.149

***

## Be2AlTl (SCAN)

Data for a PBEsol-optimized structure of Be2AlTl.

Cell lengths 3.8753, 3.8753, 4.8641 Å; angles 113.48, 113.48, 90.00 degrees
With the nearest neighbours (Å) after each atom.
Atoms (fractional coordinates):
Be1 0.0000 0.0000 0.0000  4 Tl 2.74, 4 Be 2.79, 4 Al 2.79
Be2 0.7500 0.2500 0.5000  4 Al 2.74, 4 Tl 2.79, 4 Be 2.79
Tl1 0.5000 0.5000 0.0000  8 Be 2.74-2.79, 4 Al 2.79
Al1 0.2500 0.7500 0.5000  8 Be 2.74-2.79, 4 Tl 2.79

Summary:
Volume, Å³/cell: 60
Total energy, eV per atom: -21.610
Formation energy from the elements, eV per atom: 0.595

***

## BeAl3Tl (SCAN)

Data for a PBEsol-optimized structure of BeAl3Tl.

Cell lengths 5.1743, 5.1743, 5.1743 Å; angles 90.00, 90.00, 90.00 degrees
With the nearest neighbours (Å) after each atom.
Atoms (fractional coordinates):
Be1 0.5000 0.5000 0.5000  12 Al 3.66
Tl1 0.0000 0.0000 0.0000  6 Al 2.59
Al1 0.0000 0.5000 0.0000  2 Tl 2.59
Al2 0.0000 0.0000 0.5000  2 Tl 2.59
Al3 0.5000 0.0000 0.0000  2 Tl 2.59

Summary:
Volume, Å³/cell: 139
Total energy, eV per atom: -18.607
Formation energy from the elements, eV per atom: 1.386

***

## BeAlTl2 (SCAN)

Data for a PBEsol-optimized structure of BeAlTl2.

Cell lengths 4.5598, 5.1226, 4.5598 Å; angles 63.57, 90.00, 116.43 degrees
With the nearest neighbours (Å) after each atom.
Atoms (fractional coordinates):
Be1 0.0000 0.0000 0.0000  8 Tl 3.03, 4 Al 3.22
Tl1 0.2500 0.5000 0.2500  4 Be 3.03, 4 Al 3.03, 4 Tl 3.22
Tl2 0.7500 0.5000 0.7500  4 Be 3.03, 4 Al 3.03, 4 Tl 3.22
Al1 0.5000 0.0000 0.5000  8 Tl 3.03, 4 Be 3.22

Summary:
Volume, Å³/cell: 83
Energy relative to the lowest polymorph listed for this composition, eV per atom: 0.006
Total energy, eV per atom: -38.611
Formation energy from the elements, eV per atom: 0.595

***

## BeAlTl2 (SCAN)

Data for a PBEsol-optimized structure of BeAlTl2.

Cell lengths 4.1460, 4.1460, 5.6496 Å; angles 111.53, 111.53, 90.00 degrees
With the nearest neighbours (Å) after each atom.
Atoms (fractional coordinates):
Be1 0.2500 0.7500 0.5000  8 Tl 2.93-3.18, 4 Al 3.18
Tl1 0.0000 0.0000 0.0000  4 Al 2.93, 4 Tl 3.18, 4 Be 3.18
Tl2 0.7500 0.2500 0.5000  4 Be 2.93, 4 Tl 3.18, 4 Al 3.18
Al1 0.5000 0.5000 0.0000  8 Tl 2.93-3.18, 4 Be 3.18

Summary:
Volume, Å³/cell: 83
Energy relative to the lowest polymorph listed for this composition, eV per atom: 0.000
Total energy, eV per atom: -38.617
Formation energy from the elements, eV per atom: 0.588

***

## BeAl4W (SCAN)

Data for a PBEsol-optimized structure of BeAl4W.

Cell lengths 4.9781, 4.9781, 4.9781 Å; angles 60.00, 60.00, 60.00 degrees
With the nearest neighbours (Å) after each atom.
Atoms (fractional coordinates):
Be1 0.2500 0.2500 0.2500  12 Al 2.92, 4 W 3.05
Al1 0.6247 0.6247 0.1258  6 Al 2.48-2.49
Al2 0.1258 0.6247 0.6247  6 Al 2.48-2.49
Al3 0.6247 0.1258 0.6247  6 Al 2.48-2.49
Al4 0.6247 0.6247 0.6247  6 Al 2.48-2.49
W1 0.0000 0.0000 0.0000  12 Al 2.92, 4 Be 3.05

Summary:
Volume, Å³/cell: 87
Total energy, eV per atom: -17.234
Formation energy from the elements, eV per atom: 0.274